# 1
Material: La4CeP5
Method: DFT, PBE-GGA
State: relaxed

Cell: 5.9968 7.3406 7.3406 Å, 80.40 65.89 65.89°
With the nearest neighbours (Å) after each atom.
Fractional positions:
La (0.4020, 0.3991, 0.7990)  6 P 2.99-3.07
La (0.8011, 0.7990, 0.6009)  6 P 2.99-3.07
La (0.2010, 0.2010, 0.3991)  6 P 2.99-3.07
La (0.6000, 0.6009, 0.2010)  6 P 2.99-3.07
Ce (0.0011, 0.0000, 0.0000)  6 P 2.92-3.00
P (0.9043, 0.3888, 0.8047)  1 Ce 2.92, 5 La 2.99-3.07
P (0.2930, 0.8047, 0.6112)  1 Ce 2.92, 5 La 2.99-3.07
P (0.7090, 0.1953, 0.3888)  1 Ce 2.92, 5 La 2.99-3.07
P (0.0977, 0.6112, 0.1953)  1 Ce 2.92, 5 La 2.99-3.07
P (0.5012, 0.0000, 0.0000)  4 La 2.99, 2 Ce 3.00

Its formation energy is -1.559 eV per atom. As for the space group: I4/m, No. 87. The value obtained for the density is 5.246 g/cm3.


# 2
Material: Co3PdRu
Method: DFT, PBE-GGA
State: relaxed

Cell: 4.4661 4.4661 4.4661 Å, 90.00 90.00 90.00°
With the nearest neighbours (Å) after each atom.
Fractional positions:
Ru (0.5000, 0.5000, 0.5000)  12 Co 3.16
Co (0.0000, 0.5000, 0.0000)  2 Pd 2.23
Co (0.0000, 0.0000, 0.5000)  2 Pd 2.23
Co (0.5000, 0.0000, 0.0000)  2 Pd 2.23
Pd (0.0000, 0.0000, 0.0000)  6 Co 2.23

As for the excess energy over the best structure of this formula in the dataset: 252 meV/atom. Its formation energy is 1.712 eV per atom. As for the space group: Pm-3m, No. 221. The value obtained for the density is 7.163 g/cm3.


# 3
Material: Cs2TlHg9
Method: DFT, PBE-GGA
State: relaxed

Cell: 6.6552 6.6552 11.2102 Å, 72.73 72.73 60.00°
With the nearest neighbours (Å) after each atom.
Fractional positions:
Cs (0.8614, 0.8614, 0.4157)  12 Hg 3.81-4.08, 3 Cs 4.23
Cs (0.1386, 0.1386, 0.5843)  12 Hg 3.81-4.08, 3 Cs 4.23
Tl (0.0000, 0.0000, 0.0000)  18 Hg 3.84-4.18
Hg (0.6648, 0.6648, 0.0057)  6 Hg 3.15-3.20
Hg (0.3352, 0.3352, 0.9943)  6 Hg 3.15-3.20
Hg (0.5000, 0.5000, 0.5000)  6 Hg 3.37
Hg (0.4163, 0.4163, 0.2398)  7 Hg 3.15-3.40
Hg (0.9276, 0.4163, 0.2398)  7 Hg 3.15-3.40
Hg (0.4163, 0.9276, 0.2398)  7 Hg 3.15-3.40
Hg (0.5837, 0.5837, 0.7602)  7 Hg 3.15-3.40
Hg (0.5837, 0.0724, 0.7602)  7 Hg 3.15-3.40
Hg (0.0724, 0.5837, 0.7602)  7 Hg 3.15-3.40

Its formation energy is -0.116 eV per atom. As for the space group: R-3m, No. 166. The value obtained for the density is 9.354 g/cm3.


# 4
Material: KIrSe2
Method: DFT, PBE-GGA
State: relaxed

Cell: 6.3010 6.3010 5.2261 Å, 70.20 70.20 34.41°
With the nearest neighbours (Å) after each atom.
Fractional positions:
Ir (0.4375, 0.4375, 0.7342)  4 Se 2.44
K (0.1905, 0.1905, 0.2897)  3 Ir 3.34-3.62, 5 Se 3.34-3.60, 2 K 3.73
Se (0.0010, 0.0010, 0.9523)  2 Ir 2.44
Se (0.8710, 0.8710, 0.5239)  2 Ir 2.44

As for the space group: Cm, No. 8. Its formation energy (no corrections) is -0.418 eV/atom. The value obtained for the density is 5.895 g/cm3.


Please write out number 3 again, unchanged.
Material: Cs2TlHg9
Method: DFT, PBE-GGA
State: relaxed

Cell: 6.6552 6.6552 11.2102 Å, 72.73 72.73 60.00°
With the nearest neighbours (Å) after each atom.
Fractional positions:
Cs (0.8614, 0.8614, 0.4157)  12 Hg 3.81-4.08, 3 Cs 4.23
Cs (0.1386, 0.1386, 0.5843)  12 Hg 3.81-4.08, 3 Cs 4.23
Tl (0.0000, 0.0000, 0.0000)  18 Hg 3.84-4.18
Hg (0.6648, 0.6648, 0.0057)  6 Hg 3.15-3.20
Hg (0.3352, 0.3352, 0.9943)  6 Hg 3.15-3.20
Hg (0.5000, 0.5000, 0.5000)  6 Hg 3.37
Hg (0.4163, 0.4163, 0.2398)  7 Hg 3.15-3.40
Hg (0.9276, 0.4163, 0.2398)  7 Hg 3.15-3.40
Hg (0.4163, 0.9276, 0.2398)  7 Hg 3.15-3.40
Hg (0.5837, 0.5837, 0.7602)  7 Hg 3.15-3.40
Hg (0.5837, 0.0724, 0.7602)  7 Hg 3.15-3.40
Hg (0.0724, 0.5837, 0.7602)  7 Hg 3.15-3.40

Its formation energy is -0.116 eV per atom. As for the space group: R-3m, No. 166. The value obtained for the density is 9.354 g/cm3.


Which of these has the lowest density?
La4CeP5


Among the records above, which one has the lowest density?
La4CeP5


What is the formula in the first record?
La4CeP5